(1)
This record from the Alexandria database describes crystalline Li3Al2Sn2Au4 at its relaxed geometry. The functional is GGA-PBE.

Properties
DOS(E_F): 0.27 states/eV/atom

Lattice parameters (Å, degrees): 4.6649 4.6649 11.3298 90.00 90.00 120.00
Closest atoms and distances in Å follow each position.
Positions (direct):
Li (0.0000, 0.0000, 0.0000)  6 Sn 3.06, 2 Li 3.07, 6 Au 3.20
Li (0.0000, 0.0000, 0.7292)  6 Au 2.97-3.01, 3 Al 3.03, 1 Li 3.07, 3 Sn 3.15
Au (0.6667, 0.3333, 0.6186)  4 Al 2.54-2.70
Li (0.0000, 0.0000, 0.2708)  6 Au 2.97-3.01, 3 Al 3.03, 1 Li 3.07, 3 Sn 3.15
Au (0.3333, 0.6667, 0.3814)  4 Al 2.54-2.70
Sn (0.3333, 0.6667, 0.1273)  4 Au 2.71-2.88
Sn (0.6667, 0.3333, 0.8727)  4 Au 2.71-2.88
Al (0.3333, 0.6667, 0.6057)  5 Au 2.54-2.75
Au (0.3333, 0.6667, 0.8481)  3 Sn 2.71, 1 Al 2.75, 3 Li 3.01
Au (0.6667, 0.3333, 0.1519)  3 Sn 2.71, 1 Al 2.75, 3 Li 3.01
Al (0.6667, 0.3333, 0.3943)  5 Au 2.54-2.75

=====

(2)
This record from the Alexandria database describes crystalline Li2AlSnAu at its relaxed geometry. The functional is GGA-PBE.

Properties
DOS(E_F): 0.34 states/eV/atom

Lattice parameters (Å, degrees): 4.7730 4.8822 4.7730 90.00 90.00 90.00
Closest atoms and distances in Å follow each position.
Positions (direct):
Li (0.0000, 0.0000, 0.5000)  2 Au 2.39
Al (0.0000, 0.5000, 0.0000)  2 Au 2.44
Sn (0.5000, 0.5000, 0.5000)  4 Al 3.37, 8 Li 3.41
Li (0.5000, 0.0000, 0.0000)  2 Au 2.39
Au (0.0000, 0.0000, 0.0000)  4 Li 2.39, 2 Al 2.44

=====

(3)
This record from the Alexandria database describes crystalline SrLiAlAu6 at its relaxed geometry. The functional is GGA-PBE.

Properties
DOS(E_F): 0.38 states/eV/atom

Lattice parameters (Å, degrees): 6.7418 8.8191 8.9720 119.44 112.07 90.00
Closest atoms and distances in Å follow each position.
Positions (direct):
Au (0.4242, 0.1297, 0.2939)  1 Li 2.52, 1 Al 2.56, 1 Au 2.80
Au (0.5758, 0.8703, 0.7061)  1 Li 2.52, 1 Al 2.56, 1 Au 2.80
Au (0.8697, 0.1297, 0.2939)  1 Li 2.52, 1 Al 2.56, 1 Au 2.80
Au (0.1303, 0.3359, 0.7061)  1 Li 2.52, 1 Al 2.56, 1 Au 2.80
Au (0.8777, 0.1277, 0.7553)  2 Li 2.47
Al (0.5000, 0.5000, 0.0000)  6 Au 2.56-2.65
Au (0.1223, 0.8723, 0.2447)  2 Li 2.47
Au (0.3961, 0.6461, 0.7922)  2 Al 2.65, 4 Au 2.86
Sr (0.9064, 0.6564, 0.8127)  7 Au 3.05-3.37
Au (0.5758, 0.3359, 0.7061)  1 Li 2.52, 1 Al 2.56, 1 Au 2.80
Li (0.0000, 0.0000, 0.5000)  6 Au 2.47-2.52
Au (0.4242, 0.6641, 0.2939)  1 Li 2.52, 1 Al 2.56, 1 Au 2.80
Au (0.6039, 0.3539, 0.2078)  2 Al 2.65, 4 Au 2.86
Li (0.5000, 0.0000, 0.5000)  6 Au 2.47-2.52
Sr (0.0936, 0.3436, 0.1873)  7 Au 3.05-3.37
Au (0.8697, 0.6641, 0.2939)  1 Li 2.52, 1 Al 2.56, 1 Au 2.80
Au (0.1303, 0.8703, 0.7061)  1 Li 2.52, 1 Al 2.56, 1 Au 2.80
Al (0.5000, 0.0000, 0.0000)  6 Au 2.56-2.65

=====

(4)
This record from the Alexandria database describes crystalline SrLiAlAu3 at its relaxed geometry. The functional is GGA-PBE.

Properties
DOS(E_F): 0.41 states/eV/atom

Lattice parameters (Å, degrees): 6.2425 6.8116 6.9736 119.23 90.00 90.00
Closest atoms and distances in Å follow each position.
Positions (direct):
Al (0.2500, 0.3793, 0.7587)  5 Au 2.51-2.61
Au (0.0000, 0.2813, 0.0000)  2 Li 2.52, 2 Al 2.61
Au (0.2500, 0.1734, 0.3468)  1 Al 2.51, 1 Li 2.60
Sr (0.7500, 0.2883, 0.5766)  1 Li 3.02, 2 Al 3.31, 4 Au 3.36
Au (0.7500, 0.8266, 0.6532)  1 Al 2.51, 1 Li 2.60
Au (0.5000, 0.2813, 0.0000)  2 Li 2.52, 2 Al 2.61
Li (0.2500, 0.9596, 0.9192)  5 Au 2.52-2.60
Au (0.0000, 0.7187, 0.0000)  2 Li 2.52, 2 Al 2.61
Sr (0.2500, 0.7117, 0.4234)  1 Li 3.02, 2 Al 3.31, 4 Au 3.36
Li (0.7500, 0.0404, 0.0808)  5 Au 2.52-2.60
Al (0.7500, 0.6207, 0.2413)  5 Au 2.51-2.61
Au (0.5000, 0.7187, 0.0000)  2 Li 2.52, 2 Al 2.61

=====

(5)
This record from the Alexandria database describes crystalline Sr2LiAlAu2 at its relaxed geometry. The functional is GGA-PBE.

Properties
DOS(E_F): 0.55 states/eV/atom

Lattice parameters (Å, degrees): 6.3321 6.3287 8.8574 110.93 110.94 90.00
Closest atoms and distances in Å follow each position.
Positions (direct):
Sr (0.0632, 0.3299, 0.6597)  5 Au 3.31-3.48, 2 Li 3.38, 2 Al 3.48
Au (0.1684, 0.8977, 0.7955)  2 Al 2.66, 2 Li 2.81
Sr (0.4035, 0.1701, 0.3403)  5 Au 3.31-3.48, 2 Li 3.38, 2 Al 3.48
Au (0.3729, 0.6023, 0.2045)  2 Al 2.66, 2 Li 2.81
Au (0.8316, 0.1023, 0.2045)  2 Al 2.66, 2 Li 2.81
Al (0.5001, 0.7500, 0.0000)  4 Au 2.66
Au (0.6271, 0.3977, 0.7955)  2 Al 2.66, 2 Li 2.81
Sr (0.9368, 0.6701, 0.3403)  5 Au 3.31-3.48, 2 Li 3.38, 2 Al 3.48
Li (0.0000, 0.7500, 0.0000)  4 Au 2.81
Al (0.4999, 0.2500, 0.0000)  4 Au 2.66
Sr (0.5965, 0.8299, 0.6597)  5 Au 3.31-3.48, 2 Li 3.38, 2 Al 3.48
Li (0.0000, 0.2500, 0.0000)  4 Au 2.81

=====

(6)
This record from the Alexandria database describes crystalline SrLiAl2Au5 at its relaxed geometry. The functional is GGA-PBE.

Properties
DOS(E_F): 0.30 states/eV/atom

Lattice parameters (Å, degrees): 4.9258 4.9258 7.9384 90.00 90.00 90.00
Closest atoms and distances in Å follow each position.
Positions (direct):
Al (0.5000, 0.5000, 0.1634)  5 Au 2.53-2.67, 1 Al 2.59
Au (0.5000, 0.0000, 0.2387)  2 Al 2.53
Au (0.5000, 0.0000, 0.7613)  2 Al 2.53
Sr (0.0000, 0.0000, 0.5000)  12 Au 3.22-3.48
Au (0.0000, 0.5000, 0.7613)  2 Al 2.53
Al (0.5000, 0.5000, 0.8366)  5 Au 2.53-2.67, 1 Al 2.59
Au (0.0000, 0.5000, 0.2387)  2 Al 2.53
Li (0.0000, 0.0000, 0.0000)  8 Au 3.11
Au (0.5000, 0.5000, 0.5000)  2 Al 2.67

=====

(7)
This record from the Alexandria database describes crystalline Sr2LiAl3Au12 at its relaxed geometry. The functional is GGA-PBE.

Properties
DOS(E_F): 0.27 states/eV/atom

Lattice parameters (Å, degrees): 8.2405 8.2405 8.2405 63.22 63.22 63.22
Closest atoms and distances in Å follow each position.
Positions (direct):
Au (0.6431, 0.6431, 0.1067)  2 Al 2.51
Au (0.1207, 0.6405, 0.1207)  1 Al 2.51, 1 Li 2.52
Al (0.0000, 0.0000, 0.5000)  6 Au 2.51
Au (0.6431, 0.1067, 0.6431)  2 Al 2.51
Sr (0.3802, 0.3802, 0.3802)  6 Au 3.10-3.15
Al (0.5000, 0.0000, 0.0000)  6 Au 2.51
Sr (0.6198, 0.6198, 0.6198)  6 Au 3.10-3.15
Au (0.8793, 0.8793, 0.3595)  1 Al 2.51, 1 Li 2.52
Au (0.6405, 0.1207, 0.1207)  1 Al 2.51, 1 Li 2.52
Au (0.3569, 0.8933, 0.3569)  2 Al 2.51
Li (0.0000, 0.0000, 0.0000)  6 Au 2.52
Au (0.8933, 0.3569, 0.3569)  2 Al 2.51
Au (0.3595, 0.8793, 0.8793)  1 Al 2.51, 1 Li 2.52
Au (0.8793, 0.3595, 0.8793)  1 Al 2.51, 1 Li 2.52
Au (0.1207, 0.1207, 0.6405)  1 Al 2.51, 1 Li 2.52
Au (0.3569, 0.3569, 0.8933)  2 Al 2.51
Al (0.0000, 0.5000, 0.0000)  6 Au 2.51
Au (0.1067, 0.6431, 0.6431)  2 Al 2.51

=====

(8)
This record from the Alexandria database describes crystalline SrLi2AlAu4 at its relaxed geometry. The functional is GGA-PBE.

Properties
DOS(E_F): 0.27 states/eV/atom

Lattice parameters (Å, degrees): 4.5288 4.5288 9.3218 75.94 75.94 60.00
Closest atoms and distances in Å follow each position.
Positions (direct):
Li (0.2367, 0.2367, 0.2899)  7 Au 2.70-2.81
Au (0.4042, 0.4042, 0.7874)  1 Al 2.57, 3 Li 2.70
Au (0.8651, 0.8651, 0.4046)  4 Li 2.73-2.81, 3 Al 2.75
Au (0.5958, 0.5958, 0.2126)  1 Al 2.57, 3 Li 2.70
Au (0.1349, 0.1349, 0.5954)  4 Li 2.73-2.81, 3 Al 2.75
Li (0.7633, 0.7633, 0.7101)  7 Au 2.70-2.81
Al (0.5000, 0.5000, 0.5000)  8 Au 2.57-2.75
Sr (0.0000, 0.0000, 0.0000)  8 Au 3.23-3.62

=====

(9)
This record from the Alexandria database describes crystalline Sr2Li3Al12Au at its relaxed geometry. The functional is GGA-PBE.

Properties
DOS(E_F): 0.36 states/eV/atom

Lattice parameters (Å, degrees): 10.6415 10.6415 10.6415 36.46 36.46 36.46
Closest atoms and distances in Å follow each position.
Positions (direct):
Sr (0.6448, 0.6448, 0.6448)  12 Al 3.29-3.63
Sr (0.3552, 0.3552, 0.3552)  12 Al 3.29-3.63
Al (0.0765, 0.6362, 0.0765)  4 Al 2.68-2.93, 1 Au 2.69, 1 Li 2.88
Al (0.6362, 0.0765, 0.0765)  4 Al 2.68-2.93, 1 Au 2.69, 1 Li 2.88
Al (0.4143, 0.8116, 0.4143)  2 Li 2.56, 4 Al 2.65-2.68
Au (0.0000, 0.0000, 0.0000)  6 Al 2.69
Li (0.0000, 0.5000, 0.0000)  4 Al 2.56
Al (0.0765, 0.0765, 0.6362)  4 Al 2.68-2.93, 1 Au 2.69, 1 Li 2.88
Al (0.3638, 0.9235, 0.9235)  4 Al 2.68-2.93, 1 Au 2.69, 1 Li 2.88
Al (0.1884, 0.5857, 0.5857)  2 Li 2.56, 4 Al 2.65-2.68
Li (0.5000, 0.0000, 0.0000)  4 Al 2.56
Al (0.4143, 0.4143, 0.8116)  2 Li 2.56, 4 Al 2.65-2.68
Al (0.9235, 0.9235, 0.3638)  4 Al 2.68-2.93, 1 Au 2.69, 1 Li 2.88
Al (0.5857, 0.1884, 0.5857)  2 Li 2.56, 4 Al 2.65-2.68
Li (0.0000, 0.0000, 0.5000)  4 Al 2.56
Al (0.5857, 0.5857, 0.1884)  2 Li 2.56, 4 Al 2.65-2.68
Al (0.9235, 0.3638, 0.9235)  4 Al 2.68-2.93, 1 Au 2.69, 1 Li 2.88
Al (0.8116, 0.4143, 0.4143)  2 Li 2.56, 4 Al 2.65-2.68

=====

(10)
This record from the Alexandria database describes crystalline Sr2LiAl3Au4 at its relaxed geometry. The functional is GGA-PBE.

Properties
DOS(E_F): 0.48 states/eV/atom

Lattice parameters (Å, degrees): 4.6004 4.6004 10.3565 90.00 90.00 90.00
Closest atoms and distances in Å follow each position.
Positions (direct):
Au (0.0000, 0.5000, 0.3704)  3 Al 2.58-2.66, 2 Li 2.66
Au (0.5000, 0.5000, 0.0000)  4 Al 2.62
Al (0.0000, 0.5000, 0.1216)  5 Au 2.58-2.62
Au (0.0000, 0.0000, 0.0000)  4 Al 2.62
Al (0.0000, 0.0000, 0.5000)  4 Au 2.66
Al (0.5000, 0.0000, 0.8784)  5 Au 2.58-2.62
Sr (0.0000, 0.5000, 0.7520)  8 Au 3.45-3.49, 2 Li 3.48, 7 Al 3.48-3.83
Au (0.5000, 0.0000, 0.6296)  3 Al 2.58-2.66, 2 Li 2.66
Li (0.5000, 0.5000, 0.5000)  4 Au 2.66
Sr (0.5000, 0.0000, 0.2480)  8 Au 3.45-3.49, 7 Al 3.48-3.83, 2 Li 3.48

=====

(11)
This record from the Alexandria database describes crystalline Li2TbAl2Au2 at its relaxed geometry. The functional is GGA-PBE.

Properties
DOS(E_F): 0.38 states/eV/atom

Lattice parameters (Å, degrees): 4.5009 4.5160 7.7234 106.62 90.00 119.89
Closest atoms and distances in Å follow each position.
Positions (direct):
Al (0.5718, 0.1436, 0.7131)  3 Au 2.64-2.65, 3 Li 2.80
Au (0.2596, 0.5193, 0.7767)  1 Li 2.54, 3 Al 2.64-2.65
Al (0.4282, 0.8564, 0.2869)  3 Au 2.64-2.65, 3 Li 2.80
Li (0.8584, 0.7168, 0.5714)  1 Au 2.54, 3 Li 2.78-2.82, 3 Al 2.80
Au (0.7404, 0.4807, 0.2233)  1 Li 2.54, 3 Al 2.64-2.65
Tb (0.0000, 0.0000, 0.0000)  6 Au 3.07, 2 Li 3.12, 6 Al 3.33-3.35
Li (0.1416, 0.2832, 0.4286)  1 Au 2.54, 3 Li 2.78-2.82, 3 Al 2.80

=====

Energy relative to the elements (computed, eV/f.u.): -4.4; -0.6; -2.5; -2.9; -3.6; -3.7; -4.5; -4.7; -0.3; -6.4; -4.2